# LiSnSeS | Alexandria | GGA-PBE | relaxed
data_LiSnSeS
_cell_length_a 6.806
_cell_length_b 6.806
_cell_length_c 6.806
_cell_angle_alpha 33.31
_cell_angle_beta 33.31
_cell_angle_gamma 33.31
_space_group_name_H-M_alt 'P 1'
_space_group_IT_number 1
loop_
_space_group_symop_operation_xyz
'x,y,z'
loop_
_atom_site_label
_atom_site_type_symbol
_atom_site_fract_x
_atom_site_fract_y
_atom_site_fract_z
Li1 Li 0.000 0.000 0.000
Sn1 Sn 0.509 0.509 0.509
Se1 Se 0.754 0.754 0.754
S1 S 0.261 0.261 0.261
# total DFT energy (no corrections): -16.31 eV per formula unit
# magnetization: 0.0 μB/cell
# formation energy from raw total energies: -0.70 eV/atom